# 1
! KMgCu2Cl8 (PBE, optimized geometry); values from VASP
&SYSTEM
  ibrav = 0, nat = 12, ntyp = 4
/
ATOMIC_SPECIES
Mg 24.30 Mg.upf
K 39.10 K.upf
Cu 63.55 Cu.upf
Cl 35.45 Cl.upf
CELL_PARAMETERS angstrom
-4.2382 2.8581 -3.8422
-1.8708 -4.7483 3.8531
-1.7976 5.8463 6.3317
ATOMIC_POSITIONS crystal
Mg 0.0000 0.0000 0.5000
K 0.0000 0.0000 0.0000
Cu 0.6667 0.3333 0.2700
Cu 0.3333 0.6667 0.7300
Cl 0.3333 0.6667 0.9799
Cl 0.0001 0.3148 0.6722
Cl 0.3146 0.9999 0.6722
Cl 0.6854 0.0001 0.3278
Cl 0.6852 0.6854 0.6722
Cl 0.9999 0.6852 0.3278
Cl 0.3148 0.3146 0.3278
Cl 0.6667 0.3333 0.0201
! SG ... P-3, No. 147
! Uncorrected formation energy ... -937 meV/atom


# 2
! MgCr3Mo (PBE, optimized geometry); values from VASP
&SYSTEM
  ibrav = 0, nat = 5, ntyp = 3
/
ATOMIC_SPECIES
Cr 52.00 Cr.upf
Mg 24.30 Mg.upf
Mo 95.94 Mo.upf
CELL_PARAMETERS angstrom
-3.6783 2.2396 -1.6265
-2.3298 -3.9656 -0.1917
-1.4944 0.6700 4.3022
ATOMIC_POSITIONS crystal
Cr 0.5000 0.0000 0.0000
Cr 0.0000 0.0000 0.5000
Cr 0.0000 0.5000 0.0000
Mg 0.0000 0.0000 0.0000
Mo 0.5000 0.5000 0.5000
! Energy relative to the elements ... 1995.1 meV per atom
! SG ... Pm-3m, No. 221
! Excess energy over the best structure of this formula in the dataset ... 765 meV/atom


# 3
! TmThNiIr (PBE, optimized geometry); values from VASP
&SYSTEM
  ibrav = 0, nat = 4, ntyp = 4
/
ATOMIC_SPECIES
Tm 168.93 Tm.upf
Ni 58.69 Ni.upf
Ir 192.22 Ir.upf
Th 232.04 Th.upf
CELL_PARAMETERS angstrom
4.9083 0.0000 0.0000
2.4541 4.2507 0.0000
2.4541 1.4169 4.0076
ATOMIC_POSITIONS crystal
Tm 0.5000 0.5000 0.5000
Ni 0.2500 0.2500 0.2500
Ir 0.7500 0.7500 0.7500
Th 0.0000 0.0000 0.0000
! Energy relative to the elements ... -619.0 meV per atom
! SG ... F-43m, No. 216
! Excess energy over the best structure of this formula in the dataset ... 104 meV/atom


# 4
! Hg3W (PBE, optimized geometry); values from VASP
&SYSTEM
  ibrav = 0, nat = 8, ntyp = 2
/
ATOMIC_SPECIES
Hg 200.59 Hg.upf
W 183.84 W.upf
CELL_PARAMETERS angstrom
3.9293 -7.6074 0.0000
3.9293 7.6074 0.0000
0.0000 0.0000 3.0692
ATOMIC_POSITIONS crystal
Hg 0.7390 0.2610 0.7500
Hg 0.0851 0.2852 0.2500
Hg 0.7148 0.9149 0.2500
Hg 0.2852 0.0851 0.7500
Hg 0.2610 0.7390 0.2500
Hg 0.9149 0.7148 0.7500
W 0.5637 0.4363 0.2500
W 0.4363 0.5637 0.7500
! Energy relative to the elements ... 452.2 meV per atom
! SG ... Cmcm, No. 63
! Excess energy over the best structure of this formula in the dataset ... 0 meV/atom


# 5
! TaAl2BH (PBE, optimized geometry); values from VASP
&SYSTEM
  ibrav = 0, nat = 5, ntyp = 4
/
ATOMIC_SPECIES
Al 26.98 Al.upf
Ta 180.95 Ta.upf
B 10.81 B.upf
H 1.01 H.upf
CELL_PARAMETERS angstrom
-1.6933 -3.3436 -1.2886
4.0322 -1.7889 -0.6566
-0.0246 -1.4144 3.7023
ATOMIC_POSITIONS crystal
Al 0.5000 0.0000 0.0000
Al 0.0000 0.0000 0.5000
Ta 0.0000 0.5000 0.0000
B 0.0000 0.0000 0.0000
H 0.5000 0.5000 0.5000
! SG ... P4/mmm, No. 123
! Total DFT energy (no corrections) ... -5.25 eV/atom


# 6
! LiReNi4 (PBE, optimized geometry); values from VASP
&SYSTEM
  ibrav = 0, nat = 6, ntyp = 3
/
ATOMIC_SPECIES
Li 6.94 Li.upf
Ni 58.69 Ni.upf
Re 186.21 Re.upf
CELL_PARAMETERS angstrom
-1.6445 1.1586 4.2004
-1.1114 4.4270 0.9257
-4.4659 1.2250 0.4956
ATOMIC_POSITIONS crystal
Li 0.0000 0.0000 0.0000
Ni 0.8750 0.3750 0.3750
Ni 0.3750 0.3750 0.3750
Ni 0.3750 0.3750 0.8750
Ni 0.3750 0.8750 0.3750
Re 0.7500 0.7500 0.7500
! Energy relative to the elements ... 185.8 meV per atom
! SG ... F-43m, No. 216
! Excess energy over the best structure of this formula in the dataset ... 145 meV/atom


# 7
! NaTl2In2Bi (PBE, optimized geometry); values from VASP
&SYSTEM
  ibrav = 0, nat = 12, ntyp = 4
/
ATOMIC_SPECIES
Bi 208.98 Bi.upf
Tl 204.38 Tl.upf
Na 22.99 Na.upf
In 114.82 In.upf
CELL_PARAMETERS angstrom
4.5796 0.0000 0.0000
0.0000 7.3766 0.0000
0.0000 0.0000 10.4269
ATOMIC_POSITIONS crystal
Bi 0.5000 0.1161 0.6651
Bi 0.5000 0.6161 0.3349
Tl 0.0000 0.8860 0.1633
Tl 0.5000 0.6428 0.6668
Tl 0.0000 0.3860 0.8367
Tl 0.5000 0.1428 0.3332
Na 0.0000 0.3795 0.5079
Na 0.0000 0.8795 0.4921
In 0.5000 0.6294 0.0076
In 0.0000 0.8918 0.8308
In 0.5000 0.1294 0.9924
In 0.0000 0.3918 0.1692
! Energy relative to the elements ... -72.0 meV per atom
! SG ... Pmc2_1, No. 26


# 8
! BeNbHg2Os (PBE, optimized geometry); values from VASP
&SYSTEM
  ibrav = 0, nat = 5, ntyp = 4
/
ATOMIC_SPECIES
Nb 92.91 Nb.upf
Hg 200.59 Hg.upf
Be 9.01 Be.upf
Os 190.23 Os.upf
CELL_PARAMETERS angstrom
-1.1990 -3.9683 -1.7096
3.9530 -0.4879 -1.6398
1.3171 -2.0254 3.7777
ATOMIC_POSITIONS crystal
Nb 0.5000 0.5000 0.5000
Hg 0.0000 0.0000 0.5000
Hg 0.5000 0.0000 0.0000
Be 0.0000 0.0000 0.0000
Os 0.0000 0.5000 0.0000
! Energy relative to the elements ... 874.8 meV per atom
! SG ... P4/mmm, No. 123


# 9
! Pm5Sm2TmTh (PBE, optimized geometry); values from VASP
&SYSTEM
  ibrav = 0, nat = 18, ntyp = 4
/
ATOMIC_SPECIES
Sm 150.36 Sm.upf
Th 232.04 Th.upf
Pm 145.00 Pm.upf
Tm 168.93 Tm.upf
CELL_PARAMETERS angstrom
5.6603 0.0000 0.0000
-2.8302 10.3111 0.0000
0.0000 0.0000 10.5903
ATOMIC_POSITIONS crystal
Sm 0.1138 0.2276 0.7353
Sm 0.8862 0.7724 0.2353
Sm 0.1147 0.2295 0.3098
Sm 0.8853 0.7705 0.8098
Th 0.1982 0.3963 0.0117
Th 0.8018 0.6037 0.5117
Pm 0.5165 0.0329 0.2454
Pm 0.4835 0.9671 0.7454
Pm 0.0136 0.0273 0.0166
Pm 0.7067 0.4134 0.2048
Pm 0.6168 0.2337 0.5236
Pm 0.2933 0.5866 0.7048
Pm 0.3832 0.7663 0.0236
Pm 0.9864 0.9727 0.5166
Pm 0.7248 0.4495 0.8141
Pm 0.2752 0.5505 0.3141
Tm 0.5959 0.1919 0.9627
Tm 0.4041 0.8081 0.4627
! Energy relative to the elements ... 148.3 meV per atom
! SG ... Cmc2_1, No. 36


# 10
! LaEr4 (PBE, optimized geometry); values from VASP
&SYSTEM
  ibrav = 0, nat = 5, ntyp = 2
/
ATOMIC_SPECIES
La 138.91 La.upf
Er 167.26 Er.upf
CELL_PARAMETERS angstrom
4.5168 0.0211 0.0000
-0.0246 4.5168 0.0000
-2.2461 -2.2689 8.3283
ATOMIC_POSITIONS crystal
La 0.5000 0.0000 0.5000
Er 0.2500 0.2500 0.0000
Er 0.0959 0.5959 0.6918
Er 0.9041 0.4041 0.3082
Er 0.7500 0.7500 0.0000
! Energy relative to the elements ... 348.6 meV per atom
! SG ... I4/mmm, No. 139
! Excess energy over the best structure of this formula in the dataset ... 313 meV/atom


# 11
! BaAg4F8 (PBE, optimized geometry); values from VASP
&SYSTEM
  ibrav = 0, nat = 13, ntyp = 3
/
ATOMIC_SPECIES
F 19.00 F.upf
Ag 107.87 Ag.upf
Ba 137.33 Ba.upf
CELL_PARAMETERS angstrom
-5.7849 0.5039 -1.2170
0.1740 -5.1412 -2.9560
-1.3057 -2.9179 4.9981
ATOMIC_POSITIONS crystal
F 0.2467 0.2467 0.2467
F 0.7533 0.2467 0.2467
F 0.7533 0.7533 0.7533
F 0.7533 0.2467 0.7533
F 0.7533 0.7533 0.2467
F 0.2467 0.7533 0.7533
F 0.2467 0.2467 0.7533
F 0.2467 0.7533 0.2467
Ag 0.0000 0.0000 0.0000
Ag 0.5000 0.0000 0.5000
Ag 0.5000 0.5000 0.0000
Ag 0.0000 0.5000 0.5000
Ba 0.5000 0.5000 0.5000
! SG ... Pm-3m, No. 221
! Uncorrected formation energy ... -1391 meV/atom
! Excess energy over the best structure of this formula in the dataset ... 250 meV/atom


# 12
! KC3O (PBE, optimized geometry); values from VASP
&SYSTEM
  ibrav = 0, nat = 5, ntyp = 3
/
ATOMIC_SPECIES
C 12.01 C.upf
K 39.10 K.upf
O 16.00 O.upf
CELL_PARAMETERS angstrom
4.0010 0.0000 0.0000
0.0000 4.0010 0.0000
0.0000 0.0000 4.0010
ATOMIC_POSITIONS crystal
C 0.0000 0.5000 0.0000
C 0.5000 0.0000 0.0000
C 0.0000 0.0000 0.5000
K 0.5000 0.5000 0.5000
O 0.0000 0.0000 0.0000
! SG ... Pm-3m, No. 221
! Uncorrected formation energy ... 3179 meV/atom
! Excess energy over the best structure of this formula in the dataset ... 0 meV/atom